[1]
La2ScSn | PBE | relaxed

a = 7.059 Å, b = 7.059 Å, c = 7.059 Å
α = 101.22°, β = 101.22°, γ = 127.65°
Fractional coordinates of all 8 atoms:
La1 0.113 0.125 0.488
La2 0.375 0.887 0.012
La3 0.637 0.625 0.512
La4 0.875 0.363 0.988
Sc1 0.250 0.750 0.500
Sc2 0.500 0.500 0.000
Sn1 0.000 0.000 0.000
Sn2 0.750 0.250 0.500

## Properties
The energy is -5.14 eV per atom. As for the formation energy: -8.5 kJ/mol of atoms.


[2]
La2ScSn | PBE | relaxed

a = 12.196 Å, b = 12.196 Å, c = 12.196 Å
α = 16.60°, β = 16.60°, γ = 16.60°
Fractional coordinates of all 4 atoms:
La1 0.091 0.091 0.091
La2 0.909 0.909 0.909
Sc1 0.500 0.500 0.500
Sn1 0.000 0.000 0.000

## Properties
The energy is -4.96 eV per atom. As for the formation energy: 8.0 kJ/mol of atoms.